No. 1
{"formula": "LiHf3Mo", "functional": "PBE-GGA", "state": "optimized geometry", "dos_at_fermi_per_ev_fu": 8.78, "final_energy_ev_per_cell": -37.291, "magmom_total_mub_per_cell": 0.00, "crystal_system": "cubic", "formation_energy_ev_per_atom": 1.063, "lattice_angstrom": [[-2.821, -1.145, -3.431], [3.171, -2.875, -1.648], [-1.739, -3.386, 2.560]], "species": ["Mo", "Hf", "Hf", "Hf", "Li"], "fractional_positions": [[0.500, 0.500, 0.500], [0.000, 0.500, 0.000], [0.000, 0.000, 0.500], [0.500, 0.000, 0.000], [0.000, 0.000, 0.000]]}

=====

No. 2
{"formula": "Ac3Se2S2", "functional": "PBE-GGA", "state": "optimized geometry", "dos_at_fermi_per_ev_fu": 2.03, "final_energy_ev_per_cell": -41.563, "e_form_raw_ev_per_atom": -2.002, "magmom_total_mub_per_cell": 0.00, "crystal_system": "monoclinic", "lattice_angstrom": [[-0.617, -0.257, 4.326], [6.942, -2.476, -1.367], [1.223, 7.792, 0.640]], "species": ["Ac", "Ac", "Ac", "Se", "Se", "S", "S"], "fractional_positions": [[0.000, 0.000, 0.000], [0.769, 0.539, 0.255], [0.231, 0.461, 0.745], [0.864, 0.727, 0.643], [0.136, 0.273, 0.357], [0.629, 0.258, 0.905], [0.371, 0.742, 0.095]]}

=====

No. 3
{"formula": "Rb3Be2O4", "functional": "PBE-GGA", "state": "optimized geometry", "dos_at_fermi_per_ev_fu": 4.00, "final_energy_ev_per_cell": -91.118, "e_form_raw_ev_per_atom": -1.708, "magmom_total_mub_per_cell": 2.05, "crystal_system": "monoclinic", "lattice_angstrom": [[5.308, -0.988, -0.707], [-1.067, 8.266, 1.086], [-1.067, 3.691, 7.475]], "species": ["Rb", "Rb", "Rb", "Rb", "Rb", "Rb", "Be", "Be", "Be", "Be", "O", "O", "O", "O", "O", "O", "O", "O"], "fractional_positions": [[0.891, 0.976, 0.304], [0.609, 0.696, 0.024], [0.109, 0.024, 0.696], [0.391, 0.304, 0.976], [0.250, 0.629, 0.371], [0.750, 0.371, 0.629], [0.531, 0.165, 0.400], [0.969, 0.600, 0.835], [0.469, 0.835, 0.600], [0.031, 0.400, 0.165], [0.419, 0.979, 0.356], [0.081, 0.644, 0.021], [0.581, 0.021, 0.644], [0.919, 0.356, 0.979], [0.311, 0.312, 0.312], [0.189, 0.688, 0.688], [0.689, 0.688, 0.688], [0.811, 0.312, 0.312]]}

=====

No. 4
{"formula": "ZrMo2As", "functional": "PBE-GGA", "state": "optimized geometry", "dos_at_fermi_per_ev_fu": 2.27, "final_energy_ev_per_cell": -35.005, "magmom_total_mub_per_cell": 0.00, "crystal_system": "orthorhombic", "formation_energy_ev_per_atom": -0.036, "lattice_angstrom": [[-0.190, 0.480, 2.922], [-2.699, -0.402, -1.165], [0.634, -8.339, 1.411]], "species": ["Mo", "Mo", "As", "Zr"], "fractional_positions": [[0.000, 0.000, 0.997], [0.500, 0.500, 0.236], [0.500, 0.500, 0.761], [0.000, 0.000, 0.505]]}

=====

No. 5
{"formula": "LiYZr2", "functional": "PBE-GGA", "state": "optimized geometry", "dos_at_fermi_per_ev_fu": 4.52, "final_energy_ev_per_cell": -47.182, "magmom_total_mub_per_cell": 0.00, "crystal_system": "tetragonal", "formation_energy_ev_per_atom": 0.471, "lattice_angstrom": [[4.154, 0.000, 0.000], [0.000, 4.154, 0.000], [2.077, 2.077, 11.160]], "species": ["Y", "Y", "Zr", "Zr", "Zr", "Zr", "Li", "Li"], "fractional_positions": [[0.000, 0.000, 0.000], [0.750, 0.250, 0.500], [0.137, 0.125, 0.250], [0.613, 0.625, 0.250], [0.375, 0.863, 0.750], [0.875, 0.387, 0.750], [0.500, 0.500, 0.000], [0.250, 0.750, 0.500]]}

=====

No. 6
{"formula": "Nd4Sm2Dy3", "functional": "PBE-GGA", "state": "optimized geometry", "dos_at_fermi_per_ev_fu": 14.19, "final_energy_ev_per_cell": -41.870, "magmom_total_mub_per_cell": 0.00, "crystal_system": "monoclinic", "formation_energy_ev_per_atom": 0.050, "lattice_angstrom": [[-0.197, -3.424, -1.012], [9.770, -0.826, 0.891], [0.690, -0.791, 8.858]], "species": ["Nd", "Nd", "Nd", "Nd", "Sm", "Sm", "Dy", "Dy", "Dy"], "fractional_positions": [[0.500, 0.669, 0.999], [0.336, 0.219, 0.673], [0.500, 0.331, 0.001], [0.664, 0.781, 0.327], [0.675, 0.121, 0.350], [0.325, 0.879, 0.650], [0.162, 0.457, 0.324], [0.838, 0.543, 0.676], [0.000, 0.000, 0.000]]}

=====

No. 7
{"formula": "CoRe2Au", "functional": "PBE-GGA", "state": "optimized geometry", "dos_at_fermi_per_ev_fu": 4.70, "final_energy_ev_per_cell": -33.858, "magmom_total_mub_per_cell": 0.60, "crystal_system": "trigonal", "formation_energy_ev_per_atom": 0.355, "lattice_angstrom": [[-4.916, -6.067, -4.812], [-2.414, -6.837, -5.617], [-3.469, -7.827, -3.292]], "species": ["Au", "Co", "Re", "Re"], "fractional_positions": [[0.250, 0.250, 0.250], [0.750, 0.750, 0.750], [0.008, 0.008, 0.008], [0.492, 0.492, 0.492]]}

=====

No. 8
{"formula": "ErTmPd4", "functional": "PBE-GGA", "state": "optimized geometry", "dos_at_fermi_per_ev_fu": 3.06, "final_energy_ev_per_cell": -34.719, "magmom_total_mub_per_cell": 0.00, "crystal_system": "monoclinic", "formation_energy_ev_per_atom": -0.819, "lattice_angstrom": [[3.470, 0.000, 1.004], [1.923, 4.797, -0.147], [-0.132, -1.466, 6.956]], "species": ["Er", "Tm", "Pd", "Pd", "Pd", "Pd"], "fractional_positions": [[0.500, 0.500, 0.500], [0.000, 0.000, 0.000], [0.831, 0.503, 0.834], [0.334, 0.999, 0.332], [0.169, 0.497, 0.166], [0.666, 0.001, 0.668]]}